AsPRhAu2: relaxed, PBE-GGA.

```
data_AsPRhAu2
_symmetry_space_group_name_H-M 'P 1'
_symmetry_Int_Tables_number 1
_symmetry_space_group_name_Hall 'P 1'
_cell_length_a 3.854
_cell_length_b 4.561
_cell_length_c 5.367
_cell_angle_alpha 81.78
_cell_angle_beta 83.40
_cell_angle_gamma 80.95
loop_
_atom_site_label
_atom_site_type_symbol
_atom_site_fract_x
_atom_site_fract_y
_atom_site_fract_z
As1 As 0.000 0.000 0.000
P1 P 0.895 0.635 0.752
Rh1 Rh 0.442 0.349 0.868
Au1 Au 0.228 0.563 0.338
Au2 Au 0.678 0.057 0.441
```

Results
Its energy relative to the lowest polymorph listed for this composition is 32 kJ/mol of formula units. For the formation energy, the calculation gives -0.06 eV/atom.

Tb2HgH3: relaxed, PBE-GGA.

```
data_Tb2HgH3
_symmetry_space_group_name_H-M 'C 1 2/m 1'
_symmetry_Int_Tables_number 12
_symmetry_space_group_name_Hall '-C 2y'
_cell_length_a 12.376
_cell_length_b 3.692
_cell_length_c 8.476
_cell_angle_alpha 90.00
_cell_angle_beta 110.50
_cell_angle_gamma 90.00
loop_
_atom_site_label
_atom_site_type_symbol
_atom_site_fract_x
_atom_site_fract_y
_atom_site_fract_z
Tb1 Tb 0.020 0.000 0.216
Tb2 Tb 0.165 0.500 0.612
Hg1 Hg 0.170 0.500 0.056
H1 H 0.016 0.500 0.362
H2 H 0.107 0.000 0.675
H3 H 0.173 0.000 0.452
```

Results
The energy comes out at -92.4 eV per cell.

Zr2FeSn: relaxed, PBE-GGA.

```
data_Zr2FeSn
_symmetry_space_group_name_H-M 'R -3 m'
_symmetry_Int_Tables_number 166
_symmetry_space_group_name_Hall '-R 3 2"'
_cell_length_a 3.3788
_cell_length_b 3.3788
_cell_length_c 25.0675
_cell_angle_alpha 90.00
_cell_angle_beta 90.00
_cell_angle_gamma 120.00
loop_
_atom_site_label
_atom_site_type_symbol
_atom_site_fract_x
_atom_site_fract_y
_atom_site_fract_z
Zr1 Zr 0.0000 0.0000 0.2328
Fe1 Fe 0.0000 0.0000 0.5000
Sn1 Sn 0.0000 0.0000 0.0000
```

Results
For the formation energy, the calculation gives -0.09 eV/atom.

NaPmO: relaxed, PBE-GGA.

```
data_NaPmO
_symmetry_space_group_name_H-M 'C 1 2/m 1'
_symmetry_Int_Tables_number 12
_symmetry_space_group_name_Hall '-C 2y'
_cell_length_a 21.136
_cell_length_b 4.067
_cell_length_c 8.195
_cell_angle_alpha 90.00
_cell_angle_beta 92.18
_cell_angle_gamma 90.00
loop_
_atom_site_label
_atom_site_type_symbol
_atom_site_fract_x
_atom_site_fract_y
_atom_site_fract_z
Na1 Na 0.048 0.000 0.338
Na2 Na 0.068 0.500 0.876
Pm1 Pm 0.197 0.000 0.620
Pm2 Pm 0.199 0.000 0.119
O1 O 0.250 0.000 0.376
O2 O 0.250 0.000 0.873
```

Results
Its energy relative to the lowest polymorph listed for this composition is 0 kJ/mol of formula units.

Y2Si4Ni3Pd: relaxed, PBE-GGA.

```
data_Y2Si4Ni3Pd
_symmetry_space_group_name_H-M 'P -4 m 2'
_symmetry_Int_Tables_number 115
_symmetry_space_group_name_Hall 'P -4 -2'
_cell_length_a 4.006
_cell_length_b 4.006
_cell_length_c 9.656
_cell_angle_alpha 90.00
_cell_angle_beta 90.00
_cell_angle_gamma 90.00
loop_
_atom_site_label
_atom_site_type_symbol
_atom_site_fract_x
_atom_site_fract_y
_atom_site_fract_z
Y1 Y 0.000 0.500 0.242
Si1 Si 0.000 0.000 0.000
Si2 Si 0.000 0.500 0.640
Si3 Si 0.500 0.500 0.000
Ni1 Ni 0.000 0.500 0.879
Ni2 Ni 0.500 0.500 0.500
Pd1 Pd 0.000 0.000 0.500
```

Results
The energy comes out at -65.8 eV per cell.

TlGe2PdPb: relaxed, PBE-GGA.

```
data_TlGe2PdPb
_symmetry_space_group_name_H-M 'P 4/m m m'
_symmetry_Int_Tables_number 123
_symmetry_space_group_name_Hall '-P 4 2'
_cell_length_a 4.880
_cell_length_b 4.880
_cell_length_c 5.528
_cell_angle_alpha 90.00
_cell_angle_beta 90.00
_cell_angle_gamma 90.00
loop_
_atom_site_label
_atom_site_type_symbol
_atom_site_fract_x
_atom_site_fract_y
_atom_site_fract_z
Tl1 Tl 0.000 0.000 0.000
Ge1 Ge 0.000 0.500 0.500
Pd1 Pd 0.000 0.000 0.500
Pb1 Pb 0.500 0.500 0.000
```

Results
For the formation energy, the calculation gives 0.19 eV/atom.

Ti2Nb6In: relaxed, PBE-GGA.

```
data_Ti2Nb6In
_symmetry_space_group_name_H-M 'P 4/m m m'
_symmetry_Int_Tables_number 123
_symmetry_space_group_name_Hall '-P 4 2'
_cell_length_a 4.564
_cell_length_b 4.564
_cell_length_c 8.492
_cell_angle_alpha 90.00
_cell_angle_beta 90.00
_cell_angle_gamma 90.00
loop_
_atom_site_label
_atom_site_type_symbol
_atom_site_fract_x
_atom_site_fract_y
_atom_site_fract_z
Ti1 Ti 0.000 0.000 0.136
Nb1 Nb 0.000 0.000 0.500
Nb2 Nb 0.000 0.500 0.306
Nb3 Nb 0.500 0.500 0.500
In1 In 0.500 0.500 0.000
```

Results
For the formation energy, the calculation gives 0.41 eV/atom.

Sr2LiGa: relaxed, PBE-GGA.

```
data_Sr2LiGa
_symmetry_space_group_name_H-M 'R 3 m'
_symmetry_Int_Tables_number 160
_symmetry_space_group_name_Hall 'R 3 -2"'
_cell_length_a 4.1616
_cell_length_b 4.1616
_cell_length_c 30.0903
_cell_angle_alpha 90.00
_cell_angle_beta 90.00
_cell_angle_gamma 120.00
loop_
_atom_site_label
_atom_site_type_symbol
_atom_site_fract_x
_atom_site_fract_y
_atom_site_fract_z
Sr1 Sr 0.0000 0.0000 0.0000
Sr2 Sr 0.0000 0.0000 0.1877
Li1 Li 0.0000 0.0000 0.4284
Ga1 Ga 0.0000 0.0000 0.5936
```

Results
For the formation energy, the calculation gives -0.04 eV/atom.

La2HPb: relaxed, PBE-GGA.

```
data_La2HPb
_symmetry_space_group_name_H-M 'P 4/m m m'
_symmetry_Int_Tables_number 123
_symmetry_space_group_name_Hall '-P 4 2'
_cell_length_a 3.529
_cell_length_b 3.529
_cell_length_c 7.835
_cell_angle_alpha 90.00
_cell_angle_beta 90.00
_cell_angle_gamma 90.00
loop_
_atom_site_label
_atom_site_type_symbol
_atom_site_fract_x
_atom_site_fract_y
_atom_site_fract_z
La1 La 0.000 0.000 0.200
H1 H 0.500 0.500 0.000
Pb1 Pb 0.500 0.500 0.500
```

Results
The energy comes out at -17.8 eV per cell.

AcHo2Mg: relaxed, PBE-GGA.

```
data_AcHo2Mg
_symmetry_space_group_name_H-M 'P 4/m m m'
_symmetry_Int_Tables_number 123
_symmetry_space_group_name_Hall '-P 4 2'
_cell_length_a 3.794
_cell_length_b 3.794
_cell_length_c 8.948
_cell_angle_alpha 90.00
_cell_angle_beta 90.00
_cell_angle_gamma 90.00
loop_
_atom_site_label
_atom_site_type_symbol
_atom_site_fract_x
_atom_site_fract_y
_atom_site_fract_z
Ac1 Ac 0.000 0.000 0.000
Ho1 Ho 0.500 0.500 0.292
Mg1 Mg 0.000 0.000 0.500
```

Results
Its energy relative to the lowest polymorph listed for this composition is 0 kJ/mol of formula units. For the formation energy, the calculation gives 0.00 eV/atom.

HfSbPt3: relaxed, PBE-GGA.

```
data_HfSbPt3
_symmetry_space_group_name_H-M 'P m -3 m'
_symmetry_Int_Tables_number 221
_symmetry_space_group_name_Hall '-P 4 2 3'
_cell_length_a 4.945
_cell_length_b 4.945
_cell_length_c 4.945
_cell_angle_alpha 90.00
_cell_angle_beta 90.00
_cell_angle_gamma 90.00
loop_
_atom_site_label
_atom_site_type_symbol
_atom_site_fract_x
_atom_site_fract_y
_atom_site_fract_z
Hf1 Hf 0.000 0.000 0.000
Sb1 Sb 0.500 0.500 0.500
Pt1 Pt 0.000 0.000 0.500
```

Results
Its energy relative to the lowest polymorph listed for this composition is 0 kJ/mol of formula units.

Bi2IrPbO8: relaxed, PBE-GGA.

```
data_Bi2IrPbO8
_symmetry_space_group_name_H-M 'P 1 2/m 1'
_symmetry_Int_Tables_number 10
_symmetry_space_group_name_Hall '-P 2y'
_cell_length_a 5.131
_cell_length_b 6.780
_cell_length_c 5.153
_cell_angle_alpha 90.00
_cell_angle_beta 90.31
_cell_angle_gamma 90.00
loop_
_atom_site_label
_atom_site_type_symbol
_atom_site_fract_x
_atom_site_fract_y
_atom_site_fract_z
Bi1 Bi 0.000 0.245 0.000
Ir1 Ir 0.500 0.000 0.500
Pb1 Pb 0.500 0.500 0.500
O1 O 0.207 0.500 0.833
O2 O 0.288 0.000 0.795
O3 O 0.294 0.224 0.352
```

Results
The energy comes out at -71.0 eV per cell.

no.,volume (A^3/atom),Fermi-level density of states (states/eV per atom)
1,18.4,0.383
2,15.1,0.345
3,20.7,0.909
4,29.3,0.389
5,15.5,0.640
6,26.3,0.551
7,19.7,1.134
8,37.6,0.651
9,24.4,1.016
10,32.2,1.354
11,24.2,0.581
12,14.9,0.342